! PBE Ce2ScNb, relaxed; values from VASP
! * excess energy over the best structure of this formula in the dataset: 0.0758 eV/atom
! * energy relative to the elements: 110.5 kJ/mol of formula units
! * energy: -6.781 eV per atom
&SYSTEM
  ibrav = 0, nat = 4, ntyp = 3
/
ATOMIC_SPECIES
Sc 44.96 Sc.upf
Ce 140.12 Ce.upf
Nb 92.91 Nb.upf
CELL_PARAMETERS angstrom
-2.489 -3.646 -2.713
2.607 -2.964 -3.357
0.802 -5.011 1.048
ATOMIC_POSITIONS crystal
Sc 0.500 0.500 0.500
Ce 0.250 0.250 0.250
Nb 0.000 0.000 0.000
Ce 0.750 0.750 0.750

! PBE CeMg11Ag, relaxed; values from VASP
! * energy relative to the elements: -66.5 kJ/mol of formula units
! * energy: -2.078 eV per atom
&SYSTEM
  ibrav = 0, nat = 13, ntyp = 3
/
ATOMIC_SPECIES
Mg 24.30 Mg.upf
Ce 140.12 Ce.upf
Ag 107.87 Ag.upf
CELL_PARAMETERS angstrom
5.287 -0.029 2.202
2.555 7.226 1.064
-0.148 -0.015 7.801
ATOMIC_POSITIONS crystal
Mg 0.000 0.500 0.000
Mg 0.496 0.783 0.209
Mg 0.500 0.000 0.500
Ce 0.000 0.000 0.000
Mg 0.646 0.356 0.346
Mg 0.354 0.644 0.654
Mg 0.008 0.644 0.346
Mg 0.705 0.783 0.791
Mg 0.504 0.217 0.791
Mg 0.992 0.356 0.654
Ag 0.500 0.500 0.000
Mg 0.295 0.217 0.209
Mg 0.000 0.000 0.500

! PBE Er3AsP2Rh9, relaxed; values from VASP
! * energy relative to the elements: -1005.4 kJ/mol of formula units
! * energy: -7.049 eV per atom
&SYSTEM
  ibrav = 0, nat = 15, ntyp = 4
/
ATOMIC_SPECIES
Rh 102.91 Rh.upf
As 74.92 As.upf
Er 167.26 Er.upf
P 30.97 P.upf
CELL_PARAMETERS angstrom
6.093 0.000 0.000
-3.046 5.276 0.000
0.000 0.000 8.626
ATOMIC_POSITIONS crystal
Rh 0.700 0.850 0.284
Rh 0.150 0.300 0.284
Rh 0.300 0.150 0.716
Rh 0.150 0.850 0.284
Rh 0.000 0.500 0.000
As 0.000 0.000 0.500
Er 0.000 0.000 0.000
Rh 0.850 0.700 0.716
Rh 0.500 0.000 0.000
Er 0.333 0.667 0.711
Rh 0.500 0.500 0.000
Rh 0.850 0.150 0.716
P 0.333 0.667 0.169
P 0.667 0.333 0.831
Er 0.667 0.333 0.289

! PBE KAgAuO2, relaxed; values from VASP
! * formation energy without anion corrections: -0.4288 eV per atom
! * energy: -3.857 eV per atom
&SYSTEM
  ibrav = 0, nat = 10, ntyp = 4
/
ATOMIC_SPECIES
Ag 107.87 Ag.upf
O 16.00 O.upf
K 39.10 K.upf
Au 196.97 Au.upf
CELL_PARAMETERS angstrom
4.731 0.000 0.000
0.000 6.871 0.000
0.000 -3.436 6.250
ATOMIC_POSITIONS crystal
Ag 0.500 0.750 0.000
O 0.685 0.608 0.215
K 0.736 0.250 0.500
O 0.315 0.392 0.785
Au 0.000 0.000 0.000
Au 0.000 0.500 0.000
O 0.685 0.892 0.785
K 0.264 0.750 0.500
O 0.315 0.108 0.215
Ag 0.500 0.250 0.000

! PBE BeHOs2, relaxed; values from VASP
! * excess energy over the best structure of this formula in the dataset: 0.0000 eV/atom
! * energy: -7.001 eV per atom
&SYSTEM
  ibrav = 0, nat = 8, ntyp = 3
/
ATOMIC_SPECIES
Os 190.23 Os.upf
Be 9.01 Be.upf
H 1.01 H.upf
CELL_PARAMETERS angstrom
5.577 0.000 0.000
0.000 5.577 0.000
2.789 2.789 2.610
ATOMIC_POSITIONS crystal
Os 0.875 0.814 0.750
Os 0.186 0.625 0.250
Be 0.750 0.250 0.500
H 0.500 0.500 0.000
Os 0.564 0.125 0.250
H 0.250 0.750 0.500
Be 0.000 0.000 0.000
Os 0.375 0.436 0.750

| no. | magnetic moment (μB/f.u.) |
| --- | --- |
| 1 | 1.1 |
| 2 | 1.3 |
| 3 | 0.0 |
| 4 | 0.9 |
| 5 | 0.0 |